#P
The following is a DFT calculation (PBE) of a relaxed structure of K2ZnCu2.

Cell lengths 6.821, 6.821, 5.365 Å; angles 90.00, 90.00, 90.00 degrees
Sites, in units of the cell vectors:
Cu  0.371  0.871  0.000
Cu  0.129  0.371  0.000
Cu  0.871  0.629  0.000
Cu  0.629  0.129  0.000
K  0.819  0.319  0.500
K  0.681  0.819  0.500
K  0.319  0.181  0.500
K  0.181  0.681  0.500
Zn  0.000  0.000  0.000
Zn  0.500  0.500  0.000

Calculated values
Theoretical density, g cm⁻³: 3.6
Volume, Å³ per atom: 25.0
Space group: P4/mbm

***

#Q
The following is a DFT calculation (PBE) of a relaxed structure of K2ZnCu2.

Cell lengths 6.442, 6.442, 5.829 Å; angles 56.45, 56.45, 90.00 degrees
Sites, in units of the cell vectors:
K  0.250  0.750  0.500
K  0.750  0.250  0.500
Cu  0.336  0.336  0.327
Cu  0.664  0.664  0.673
Zn  0.000  0.000  0.000

Calculated values
Theoretical density, g cm⁻³: 3.0
Volume, Å³ per atom: 30.2
Space group: I4/mmm

***

The structure with the least stability is #Q.

***

#P
The following is a DFT calculation (PBE) of a relaxed structure of KZrCu2.

Cell lengths 8.950, 8.950, 8.950 Å; angles 23.06, 23.06, 23.06 degrees
Sites, in units of the cell vectors:
Cu  0.482  0.482  0.482
Cu  0.018  0.018  0.018
K  0.250  0.250  0.250
Zr  0.750  0.750  0.750

Calculated values
Theoretical density, g cm⁻³: 4.4
Volume, Å³ per atom: 24.1
Space group: R-3m

***

#Q
The following is a DFT calculation (PBE) of a relaxed structure of KZrCu2.

Cell lengths 7.587, 7.587, 6.400 Å; angles 53.65, 53.65, 90.00 degrees
Sites, in units of the cell vectors:
Cu  0.375  0.329  0.750
Cu  0.079  0.625  0.250
Cu  0.671  0.125  0.250
Cu  0.875  0.921  0.750
K  0.500  0.500  0.000
K  0.250  0.750  0.500
Zr  0.000  0.000  0.000
Zr  0.750  0.250  0.500

Calculated values
Theoretical density, g cm⁻³: 4.3
Volume, Å³ per atom: 25.1
Space group: I-42d

***

The structure with the least stability is #Q.

***

#P
The following is a DFT calculation (PBE) of a relaxed structure of K3ZrCu.

Cell lengths 6.224, 6.224, 6.224 Å; angles 90.00, 90.00, 90.00 degrees
Sites, in units of the cell vectors:
Zr  0.500  0.500  0.500
K  0.500  0.000  0.000
K  0.000  0.000  0.500
K  0.000  0.500  0.000
Cu  0.000  0.000  0.000

Calculated values
Theoretical density, g cm⁻³: 1.9
Volume, Å³ per atom: 48.2
Space group: Pm-3m

***

#Q
The following is a DFT calculation (PBE) of a relaxed structure of K3ZrCu.

Cell lengths 6.765, 6.765, 6.765 Å; angles 90.00, 90.00, 90.00 degrees
Sites, in units of the cell vectors:
Cu  0.500  0.500  0.500
Zr  0.000  0.000  0.000
K  0.000  0.500  0.000
K  0.500  0.000  0.000
K  0.000  0.000  0.500

Calculated values
Theoretical density, g cm⁻³: 1.5
Volume, Å³ per atom: 61.9
Space group: Pm-3m

***

The structure with the least stability is #Q.

***

#P
The following is a DFT calculation (PBE) of a relaxed structure of La3Cu4.

Cell lengths 13.159, 13.159, 13.159 Å; angles 164.73, 164.73, 21.66 degrees
Sites, in units of the cell vectors:
La  0.312  0.312  0.000
La  0.000  0.000  0.000
La  0.688  0.688  0.000
Cu  0.115  0.115  0.000
Cu  0.575  0.575  0.000
Cu  0.425  0.425  0.000
Cu  0.885  0.885  0.000

Calculated values
Theoretical density, g cm⁻³: 7.1
Volume, Å³ per atom: 22.6
Space group: I4/mmm

***

#Q
The following is a DFT calculation (PBE) of a relaxed structure of La3Cu4.

Cell lengths 4.456, 5.663, 13.496 Å; angles 90.00, 90.00, 113.16 degrees
Sites, in units of the cell vectors:
La  0.273  0.546  0.601
La  0.729  0.459  0.399
La  0.729  0.459  0.101
La  0.273  0.546  0.899
La  0.989  0.977  0.750
La  0.014  0.027  0.250
Cu  0.001  0.002  0.000
Cu  0.001  0.002  0.500
Cu  0.561  0.123  0.586
Cu  0.561  0.123  0.915
Cu  0.441  0.882  0.085
Cu  0.688  0.377  0.750
Cu  0.314  0.628  0.250
Cu  0.441  0.882  0.415

Calculated values
Theoretical density, g cm⁻³: 7.1
Volume, Å³ per atom: 22.4
Space group: Cmcm

***

The structure with the least stability is #P.

***

#P
The following is a DFT calculation (PBE) of a relaxed structure of La5Cu3.

Cell lengths 6.636, 6.636, 5.102 Å; angles 90.00, 90.00, 106.47 degrees
Sites, in units of the cell vectors:
La  0.000  0.500  0.000
La  0.000  0.000  0.000
La  0.703  0.703  0.500
La  0.500  0.000  0.000
La  0.297  0.297  0.500
Cu  0.500  0.500  0.000
Cu  0.206  0.794  0.500
Cu  0.794  0.206  0.500

Calculated values
Theoretical density, g cm⁻³: 6.8
Volume, Å³ per atom: 26.9
Space group: Cmmm

***

#Q
The following is a DFT calculation (PBE) of a relaxed structure of La5Cu3.

Cell lengths 8.854, 8.853, 8.863 Å; angles 97.51, 97.51, 137.42 degrees
Sites, in units of the cell vectors:
La  0.592  0.292  0.884
La  0.208  0.908  0.116
La  0.709  0.592  0.301
La  0.792  0.092  0.884
La  0.408  0.708  0.116
La  0.749  0.250  0.500
La  0.092  0.209  0.301
La  0.249  0.750  0.500
La  0.291  0.408  0.699
La  0.908  0.791  0.699
Cu  0.656  0.843  0.500
Cu  0.843  0.344  0.187
Cu  0.750  0.750  0.000
Cu  0.250  0.250  0.000
Cu  0.343  0.156  0.500
Cu  0.155  0.656  0.813

Calculated values
Theoretical density, g cm⁻³: 6.7
Volume, Å³ per atom: 27.4
Space group: C2/m

***

#R
The following is a DFT calculation (PBE) of a relaxed structure of La5Cu3.

Cell lengths 8.608, 8.608, 6.960 Å; angles 90.00, 90.00, 120.00 degrees
Sites, in units of the cell vectors:
La  0.242  0.242  0.750
La  0.667  0.333  0.000
La  0.242  0.000  0.250
La  0.333  0.667  0.500
La  0.758  0.758  0.250
La  0.333  0.667  0.000
La  0.000  0.242  0.250
La  0.000  0.758  0.750
La  0.667  0.333  0.500
La  0.758  0.000  0.750
Cu  0.399  0.000  0.750
Cu  0.399  0.399  0.250
Cu  0.601  0.601  0.750
Cu  0.000  0.399  0.750
Cu  0.601  0.000  0.250
Cu  0.000  0.601  0.250

Calculated values
Theoretical density, g cm⁻³: 6.6
Volume, Å³ per atom: 27.9
Space group: P6_3/mcm

***

The structure with the least stability is #P.

***

#P
The following is a DFT calculation (PBE) of a relaxed structure of La5Cu4.

Cell lengths 8.665, 8.665, 7.409 Å; angles 90.00, 90.00, 60.00 degrees
Sites, in units of the cell vectors:
La  0.000  0.266  0.250
La  0.000  0.734  0.750
La  0.333  0.333  0.500
La  0.667  0.667  0.000
La  0.333  0.333  0.000
La  0.266  0.734  0.250
La  0.667  0.667  0.500
La  0.734  0.266  0.750
La  0.734  0.000  0.250
La  0.266  0.000  0.750
Cu  0.000  0.000  0.000
Cu  0.000  0.000  0.500
Cu  0.000  0.393  0.750
Cu  0.607  0.000  0.750
Cu  0.000  0.607  0.250
Cu  0.607  0.393  0.250
Cu  0.393  0.607  0.750
Cu  0.393  0.000  0.250

Calculated values
Theoretical density, g cm⁻³: 6.5
Volume, Å³ per atom: 26.8
Space group: P6_3/mcm

***

#Q
The following is a DFT calculation (PBE) of a relaxed structure of La5Cu4.

Cell lengths 6.977, 6.977, 6.977 Å; angles 97.86, 97.86, 136.59 degrees
Sites, in units of the cell vectors:
Cu  0.364  0.000  0.364
Cu  0.636  0.000  0.636
Cu  0.000  0.364  0.364
Cu  0.000  0.636  0.636
La  0.326  0.326  0.653
La  0.674  0.326  0.000
La  0.000  0.000  0.000
La  0.674  0.674  0.347
La  0.326  0.674  0.000

Calculated values
Theoretical density, g cm⁻³: 7.3
Volume, Å³ per atom: 24.1
Space group: I4/mmm

***

The structure with the least stability is #Q.

***

#P
The following is a DFT calculation (PBE) of a relaxed structure of LiLa2Cu.

Cell lengths 5.202, 5.202, 6.373 Å; angles 79.46, 79.46, 40.33 degrees
Sites, in units of the cell vectors:
La  0.984  0.984  0.035
La  0.516  0.516  0.465
Li  0.750  0.750  0.750
Cu  0.250  0.250  0.250

Calculated values
Theoretical density, g cm⁻³: 5.3
Volume, Å³ per atom: 27.4
Space group: C2/m

***

#Q
The following is a DFT calculation (PBE) of a relaxed structure of LiLa2Cu.

Cell lengths 6.338, 6.338, 5.008 Å; angles 66.75, 66.75, 33.38 degrees
Sites, in units of the cell vectors:
Cu  0.222  0.222  0.277
Li  0.555  0.555  0.446
La  0.767  0.767  0.733
La  0.956  0.956  0.044

Calculated values
Theoretical density, g cm⁻³: 5.7
Volume, Å³ per atom: 25.2
Space group: Cm

***

#R
The following is a DFT calculation (PBE) of a relaxed structure of LiLa2Cu.

Cell lengths 10.074, 10.074, 10.074 Å; angles 21.22, 21.22, 21.22 degrees
Sites, in units of the cell vectors:
La  0.487  0.487  0.487
La  0.013  0.013  0.013
Li  0.250  0.250  0.250
Cu  0.750  0.750  0.750

Calculated values
Theoretical density, g cm⁻³: 4.9
Volume, Å³ per atom: 29.3
Space group: R-3m

***

#S
The following is a DFT calculation (PBE) of a relaxed structure of LiLa2Cu.

Cell lengths 3.688, 3.688, 10.196 Å; angles 79.58, 79.58, 60.00 degrees
Sites, in units of the cell vectors:
Li  0.499  0.499  0.502
Cu  0.667  0.667  0.999
La  0.264  0.264  0.209
La  0.070  0.070  0.789

Calculated values
Theoretical density, g cm⁻³: 4.9
Volume, Å³ per atom: 29.4
Space group: R3m

***

The structure with the least stability is #P.

***

#P
The following is a DFT calculation (PBE) of a relaxed structure of LiLa2Cu.

Cell lengths 3.782, 3.782, 7.540 Å; angles 90.00, 90.00, 90.00 degrees
Sites, in units of the cell vectors:
La  0.000  0.000  0.965
La  0.000  0.000  0.535
Li  0.500  0.500  0.250
Cu  0.500  0.500  0.750

Calculated values
Theoretical density, g cm⁻³: 5.4
Volume, Å³ per atom: 27.0
Space group: P4/mmm

***

#Q
The following is a DFT calculation (PBE) of a relaxed structure of LiLa2Cu.

Cell lengths 3.625, 3.625, 7.859 Å; angles 90.00, 90.00, 90.01 degrees
Sites, in units of the cell vectors:
Cu  0.500  0.500  0.708
La  0.000  0.000  0.940
La  0.500  0.500  0.291
Li  0.000  0.000  0.561

Calculated values
Theoretical density, g cm⁻³: 5.6
Volume, Å³ per atom: 25.8
Space group: P4mm

***

#R
The following is a DFT calculation (PBE) of a relaxed structure of LiLa2Cu.

Cell lengths 8.296, 5.201, 3.843 Å; angles 90.08, 62.30, 128.74 degrees
Sites, in units of the cell vectors:
Cu  0.500  0.500  0.000
La  0.000  0.000  0.000
La  0.500  0.000  0.500
Li  0.000  0.500  0.500

Calculated values
Theoretical density, g cm⁻³: 5.6
Volume, Å³ per atom: 26.0
Space group: C2/m

***

#S
The following is a DFT calculation (PBE) of a relaxed structure of LiLa2Cu.

Cell lengths 5.057, 5.057, 5.057 Å; angles 119.65, 119.65, 90.61 degrees
Sites, in units of the cell vectors:
Cu  0.750  0.250  0.500
La  0.000  0.000  0.000
La  0.250  0.750  0.500
Li  0.500  0.500  0.000

Calculated values
Theoretical density, g cm⁻³: 6.3
Volume, Å³ per atom: 23.0
Space group: I-4m2

***

The structure with the least stability is #S.